# 1
KDyNiF6, relaxed, DFT PBE with a Hubbard U; final energy = -5.32 eV per atom; space-group type = Imma, No. 74
1.0
-0.851 -5.603 -4.324
4.612 -4.060 4.354
-5.869 3.288 2.771
K Dy Ni F
2 2 2 12
Cartesian
-2.579 -5.096 1.235
0.471 -1.279 1.565
1.880 -4.832 0.015
-0.425 -2.801 -2.162
-3.360 -1.158 -0.777
-2.935 1.644 1.385
-1.925 -2.207 3.238
1.781 -6.331 1.977
-1.833 -4.459 -2.922
1.433 -3.892 2.069
-1.372 -1.423 -0.579
0.972 -6.928 -0.274
-0.183 -4.169 -0.438
-3.890 -0.044 0.823
-0.276 -1.917 5.722
-3.542 -2.484 0.731
-0.737 -4.953 3.378
-3.080 0.553 3.074



# 2
PWSO2, relaxed, DFT PBE with a Hubbard U; final energy = -6.06 eV per atom; space-group type = P4/mmm, No. 123
1.0
3.789 0.000 0.000
0.000 3.789 0.000
0.000 0.000 5.390
P S O W
1 1 2 1
Cartesian
0.000 0.000 2.695
1.895 1.895 2.695
0.000 1.895 0.000
1.895 0.000 0.000
0.000 0.000 0.000